Here is crystalline V2CF at its relaxed geometry from Alexandria via LeMat-Bulk. Energies are from PBE+U.

Calculated values
Density of states at the Fermi level, states/eV per cell: 1.3
E, eV per atom: -6.727
Magnetization, μB per formula unit: 5.0
Excess energy over the best structure of this formula in the dataset, eV per atom: 0.000

a b c (Å): 3.322 3.322 5.457
angles (deg): 72.28 72.28 60.00
Site moments in Bohr magnetons follow the coordinates.
Element x y z (fractional)
1 C 0.000 0.000 0.000  -0.24
2 F 0.500 0.500 0.500  0.03
3 V 0.266 0.266 0.203  2.42
4 V 0.734 0.734 0.797  2.42